Entry from Alexandria via LeMat-Bulk: crystalline ScNbI3 at its relaxed geometry (PBE).

```
5
Lattice="5.696 0.000 0.000 0.000 5.696 0.000 0.000 0.000 5.696" Properties=species:S:1:pos:R:3 pbc="T T T"
Sc 0.000 0.000 0.000
Nb 2.848 2.848 2.848
I 0.000 0.000 2.848
I 0.000 2.848 0.000
I 2.848 0.000 0.000
```

Values from the calculation:
- energy above the most stable polymorph in this dataset (eV per atom) = 0.0000
- calculated total energy (eV per cell) = -19.49
- E_form (uncorrected) (eV per atom) = 0.31
- M_tot (Bohr magnetons per cell) = 4.987